# LiMg2Ir, optimized geometry, DFT PBE-GGA
# Calculated formation energy = -0.2280 eV/atom
data_LiMg2Ir
_chemical_formula_sum 'Li2 Mg4 Ir2'
_space_group_name_H-M_alt 'I m m 2'
_space_group_IT_number 44
_cell_length_a 3.2045
_cell_length_b 4.4392
_cell_length_c 9.1292
_cell_angle_alpha 90.00
_cell_angle_beta 90.00
_cell_angle_gamma 90.00
loop_
_space_group_symop_operation_xyz
'x,y,z'
'-x,-y,z'
'-x,y,z'
'x,-y,z'
'x+1/2,y+1/2,z+1/2'
'-x+1/2,-y+1/2,z+1/2'
'-x+1/2,y+1/2,z+1/2'
'x+1/2,-y+1/2,z+1/2'
loop_
_atom_site_label
_atom_site_type_symbol
_atom_site_fract_x
_atom_site_fract_y
_atom_site_fract_z
Li1 Li 0.0000 0.0000 0.0000
Mg1 Mg 0.0000 0.0000 0.5376
Mg2 Mg 0.0000 0.5000 0.7642
Ir1 Ir 0.0000 0.5000 0.2758